(1)
Material: PaB4Pt4
Method: DFT, PBE
State: optimized geometry

a = 7.9169 Å, b = 7.9169 Å, c = 4.0010 Å
α = 90.00°, β = 90.00°, γ = 90.00°
Space group P4_2/n (No. 86, origin choice 2)
Inequivalent atoms, fractional coordinates:
Pa1 0.2500 0.2500 0.2500 x2
B1 0.0415 0.9212 0.1308 x8
Pt1 0.0588 0.6592 0.1216 x8

Summary:
- total energy (eV/atom) = -7.065
- energy of formation (eV/f.u.) = -3.21
- crystal system = tetragonal
- magnetic moment (μB/atom) = 0.00



(2)
Material: Ac2Pm5Pr12
Method: DFT, PBE
State: optimized geometry

a = 13.5302 Å, b = 11.9279 Å, c = 9.7314 Å
α = 90.00°, β = 116.82°, γ = 90.00°
Space group C2/m (No. 12)
Inequivalent atoms, fractional coordinates:
Ac1 0.0000 0.2347 0.0000 x4
Pm1 0.0000 0.5000 0.5000 x2
Pm2 0.1899 0.5000 0.3293 x4
Pm3 0.1922 0.0000 0.2400 x4
Pr1 0.0754 0.0000 0.7754 x4
Pr2 0.1090 0.2190 0.4255 x8
Pr3 0.1271 0.5000 0.9449 x4
Pr4 0.1902 0.2557 0.8024 x8

Summary:
- total energy (eV/atom) = -4.599
- energy of formation (eV/f.u.) = 1.94
- crystal system = monoclinic
- magnetic moment (μB/atom) = 0.00
- relative energy among the computed polymorphs (eV/atom) = 0.007



(3)
Material: Sm4PuAg5
Method: DFT, PBE
State: optimized geometry

a = 3.6671 Å, b = 3.6671 Å, c = 18.9083 Å
α = 90.00°, β = 90.00°, γ = 90.00°
Space group P4/mmm (No. 123)
Inequivalent atoms, fractional coordinates:
Sm1 0.0000 0.0000 0.1000 x2
Sm2 0.0000 0.0000 0.3008 x2
Pu1 0.0000 0.0000 0.5000 x1
Ag1 0.5000 0.5000 0.0000 x1
Ag2 0.5000 0.5000 0.2002 x2
Ag3 0.5000 0.5000 0.3970 x2

Summary:
- total energy (eV/atom) = -4.942
- energy of formation (eV/f.u.) = -1.95
- crystal system = tetragonal
- magnetic moment (μB/atom) = 0.57



(4)
Material: Tl2AgF6
Method: DFT, PBE
State: optimized geometry

a = 5.3859 Å, b = 5.3859 Å, c = 11.0686 Å
α = 90.00°, β = 90.00°, γ = 90.00°
Space group P4_2/mnm (No. 136)
Inequivalent atoms, fractional coordinates:
Tl1 0.0000 0.0000 0.1663 x4
Ag1 0.0000 0.0000 0.5000 x2
F1 0.1874 0.1874 0.0000 x4
F2 0.2011 0.2011 0.3226 x8

Summary:
- energy relative to the elements, uncorrected (eV per atom) = -1.63
- total energy (eV/atom) = -3.725
- crystal system = tetragonal
- magnetic moment (μB/atom) = 0.00
- relative energy among the computed polymorphs (eV/atom) = 0.000